No. 1
First-principles (GGA-PBE) data for an optimized crystal structure of SmZn9Pt2, as listed in the Alexandria database.

a b c (Å): 10.621 10.621 6.931
angles (deg): 90.00 90.00 90.00
Space group I4_1/amd (No. 141, origin choice 2)
Asymmetric unit:
Sm (0.000, 0.250, 0.375)
Zn (0.000, 0.250, 0.875)
Zn (0.121, 0.043, 0.677)
Pt (0.000, 0.000, 0.000)

The calculation puts the formation energy at -475.8 kJ/mol of formula units. The offset from the most stable computed form comes out at 0 meV per atom. The calculation puts the raw total energy at -2.766 eV/atom. The magnetization comes out at 0.0 μB per formula unit. As for the crystal system: tetragonal.

No. 2
First-principles (GGA-PBE) data for an optimized crystal structure of Sm2ZnPt6, as listed in the Alexandria database.

a b c (Å): 5.6698 5.6698 6.0427
angles (deg): 90.00 90.00 120.00
Space group P-3m1 (No. 164)
Asymmetric unit:
Sm (0.3333, 0.6667, 0.3461)
Zn (0.0000, 0.0000, 0.5000)
Pt (0.1729, 0.3457, 0.8136)

The calculation puts the formation energy at -768.6 kJ/mol of formula units. The calculation puts the raw total energy at -6.103 eV/atom. The magnetization comes out at 0.0 μB per formula unit. As for the crystal system: trigonal.

No. 3
First-principles (GGA-PBE) data for an optimized crystal structure of SmZn2Pt8, as listed in the Alexandria database.

a b c (Å): 5.282 5.282 8.338
angles (deg): 90.00 90.00 90.00
Space group P4/mmm (No. 123)
Asymmetric unit:
Sm (0.000, 0.000, 0.000)
Zn (0.000, 0.500, 0.500)
Pt (0.253, 0.253, 0.273)

The calculation puts the formation energy at -137.6 kJ/mol of formula units. The calculation puts the raw total energy at -5.184 eV/atom. The magnetization comes out at 0.0 μB per formula unit. As for the crystal system: tetragonal.

No. 4
First-principles (GGA-PBE) data for an optimized crystal structure of SmZnPt, as listed in the Alexandria database.

a b c (Å): 8.593 7.218 9.344
angles (deg): 90.00 90.00 90.00
Space group Cmce (No. 64)
Asymmetric unit:
Sm (0.203, 0.000, 0.000)
Zn (0.000, 0.142, 0.296)
Pt (0.000, 0.186, 0.568)

The calculation puts the formation energy at -195.6 kJ/mol of formula units. The calculation puts the raw total energy at -4.687 eV/atom. The magnetization comes out at 0.0 μB per formula unit. As for the crystal system: orthorhombic.

No. 5
First-principles (GGA-PBE) data for an optimized crystal structure of SmZn2Pt3, as listed in the Alexandria database.

a b c (Å): 9.638 8.803 5.315
angles (deg): 90.00 90.00 90.00
Space group Cmcm (No. 63)
Asymmetric unit:
Sm (0.000, 0.213, 0.250)
Zn (0.234, 0.500, 0.000)
Pt (0.000, 0.461, 0.750)
Pt (0.183, 0.227, 0.750)

The calculation puts the formation energy at -401.9 kJ/mol of formula units. The calculation puts the raw total energy at -4.926 eV/atom. The magnetization comes out at 0.0 μB per formula unit. As for the crystal system: orthorhombic.

No. 6
First-principles (GGA-PBE) data for an optimized crystal structure of SmZrZnPt, as listed in the Alexandria database.

a b c (Å): 6.952 6.952 6.952
angles (deg): 90.00 90.00 90.00
Space group F-43m (No. 216)
Asymmetric unit:
Sm (0.000, 0.000, 0.000)
Zr (0.000, 0.000, 0.500)
Zn (0.250, 0.250, 0.250)
Pt (0.250, 0.250, 0.750)

The calculation puts the formation energy at -208.2 kJ/mol of formula units. The calculation puts the raw total energy at -5.685 eV/atom. The magnetization comes out at 0.0 μB per formula unit. As for the crystal system: cubic.

No. 7
First-principles (GGA-PBE) data for an optimized crystal structure of Sm2Zr3Pt4, as listed in the Alexandria database.

a b c (Å): 7.188 7.369 7.984
angles (deg): 90.00 110.39 90.00
Space group P2_1/c (No. 14)
Asymmetric unit:
Sm (0.196, 0.170, 0.088)
Zr (0.249, 0.651, 0.252)
Zr (0.500, 0.000, 0.500)
Pt (0.099, 0.551, 0.879)
Pt (0.488, 0.641, 0.618)

The calculation puts the formation energy at -878.0 kJ/mol of formula units. The calculation puts the raw total energy at -7.594 eV/atom. The magnetization comes out at 0.0 μB per formula unit. As for the crystal system: monoclinic.

No. 8
First-principles (GGA-PBE) data for an optimized crystal structure of SmZrPt4, as listed in the Alexandria database.

a b c (Å): 7.651 7.651 7.651
angles (deg): 90.00 90.00 90.00
Space group F-43m (No. 216)
Asymmetric unit:
Sm (0.000, 0.000, 0.000)
Zr (0.250, 0.250, 0.750)
Pt (0.125, 0.125, 0.375)

The calculation puts the formation energy at -518.3 kJ/mol of formula units. The calculation puts the raw total energy at -7.134 eV/atom. The magnetization comes out at 0.0 μB per formula unit. As for the crystal system: cubic.

No. 9
First-principles (GGA-PBE) data for an optimized crystal structure of SmZrPt6, as listed in the Alexandria database.

a b c (Å): 4.110 4.110 8.225
angles (deg): 90.00 90.00 90.00
Space group P4/mmm (No. 123)
Asymmetric unit:
Sm (0.000, 0.000, 0.000)
Zr (0.000, 0.000, 0.500)
Pt (0.000, 0.500, 0.261)
Pt (0.500, 0.500, 0.000)
Pt (0.500, 0.500, 0.500)

The calculation puts the formation energy at -775.5 kJ/mol of formula units. The calculation puts the raw total energy at -7.194 eV/atom. The magnetization comes out at 0.0 μB per formula unit. As for the crystal system: tetragonal.

No. 10
First-principles (GGA-PBE) data for an optimized crystal structure of Sm2ZrPt, as listed in the Alexandria database.

a b c (Å): 3.5799 3.5799 30.8600
angles (deg): 90.00 90.00 120.00
Space group R-3m (No. 166, hexagonal axes)
Asymmetric unit:
Sm (0.0000, 0.0000, 0.1023)
Zr (0.0000, 0.0000, 0.0000)
Pt (0.0000, 0.0000, 0.5000)

The calculation puts the formation energy at -8.8 kJ/mol of formula units. The offset from the most stable computed form comes out at 425 meV per atom. The calculation puts the raw total energy at -6.030 eV/atom. The magnetization comes out at 1.1 μB per formula unit. As for the crystal system: trigonal.

No. 11
First-principles (GGA-PBE) data for an optimized crystal structure of Sm2ZrPt, as listed in the Alexandria database.

a b c (Å): 3.592 3.592 7.887
angles (deg): 90.00 90.00 90.00
Space group P4/mmm (No. 123)
Asymmetric unit:
Sm (0.000, 0.000, 0.217)
Zr (0.500, 0.500, 0.500)
Pt (0.500, 0.500, 0.000)

The calculation puts the formation energy at -172.6 kJ/mol of formula units. The offset from the most stable computed form comes out at 0 meV per atom. The calculation puts the raw total energy at -6.454 eV/atom. The magnetization comes out at 0.0 μB per formula unit. As for the crystal system: tetragonal.

No. 12
First-principles (GGA-PBE) data for an optimized crystal structure of SnPt5, as listed in the Alexandria database.

a b c (Å): 4.094 11.892 4.032
angles (deg): 90.00 90.00 90.00
Space group Cmmm (No. 65)
Asymmetric unit:
Sn (0.000, 0.000, 0.000)
Pt (0.000, 0.169, 0.500)
Pt (0.000, 0.336, 0.000)
Pt (0.000, 0.500, 0.500)

The calculation puts the formation energy at -138.0 kJ/mol of formula units. The calculation puts the raw total energy at -5.940 eV/atom. The magnetization comes out at 0.0 μB per formula unit. As for the crystal system: orthorhombic.

No. 13
First-principles (GGA-PBE) data for an optimized crystal structure of SnPt, as listed in the Alexandria database.

a b c (Å): 4.338 10.326 5.851
angles (deg): 90.00 90.00 90.00
Space group Amm2 (No. 38)
Asymmetric unit:
Sn (0.000, 0.000, 0.000)
Sn (0.500, 0.165, 0.496)
Pt (0.000, 0.000, 0.555)
Pt (0.000, 0.221, 0.215)

The calculation puts the formation energy at -66.6 kJ/mol of formula units. The calculation puts the raw total energy at -5.367 eV/atom. The magnetization comes out at 0.0 μB per formula unit. As for the crystal system: orthorhombic.

No. 14
First-principles (GGA-PBE) data for an optimized crystal structure of SnPt, as listed in the Alexandria database.

a b c (Å): 6.634 6.879 7.578
angles (deg): 90.00 90.00 90.00
Space group P2_12_12_1 (No. 19)
Asymmetric unit:
Sn (0.074, 0.090, 0.085)
Sn (0.097, 0.535, 0.826)
Pt (0.111, 0.224, 0.422)
Pt (0.242, 0.811, 0.290)

The calculation puts the formation energy at -73.0 kJ/mol of formula units. The calculation puts the raw total energy at -5.400 eV/atom. The magnetization comes out at 0.0 μB per formula unit. As for the crystal system: orthorhombic.

No. 15
First-principles (GGA-PBE) data for an optimized crystal structure of SnPt, as listed in the Alexandria database.

a b c (Å): 4.6377 4.6377 5.4146
angles (deg): 90.00 90.00 120.00
Space group P6_3/mmc (No. 194)
Asymmetric unit:
Sn (0.3333, 0.6667, 0.2500)
Pt (0.3333, 0.6667, 0.7500)

The calculation puts the formation energy at -54.4 kJ/mol of formula units. The calculation puts the raw total energy at -5.304 eV/atom. The magnetization comes out at 0.0 μB per formula unit. As for the crystal system: hexagonal.

No. 16
First-principles (GGA-PBE) data for an optimized crystal structure of Sn3Pt2, as listed in the Alexandria database.

a b c (Å): 6.8971 6.8971 17.1195
angles (deg): 90.00 90.00 120.00
Space group R-3c (No. 167, hexagonal axes)
Asymmetric unit:
Sn (0.0000, 0.3426, 0.2500)
Pt (0.0000, 0.0000, 0.1656)

The calculation puts the formation energy at -222.3 kJ/mol of formula units. The calculation puts the raw total energy at -5.279 eV/atom. The magnetization comes out at 0.0 μB per formula unit. As for the crystal system: trigonal.

No. 17
First-principles (GGA-PBE) data for an optimized crystal structure of Sn4Pt, as listed in the Alexandria database.

a b c (Å): 5.265 5.265 5.265
angles (deg): 90.00 90.00 90.00
Space group Pm-3m (No. 221)
Asymmetric unit:
Sn (0.000, 0.000, 0.000)
Sn (0.000, 0.500, 0.500)
Pt (0.500, 0.500, 0.500)

The calculation puts the formation energy at 45.5 kJ/mol of formula units. The calculation puts the raw total energy at -4.316 eV/atom. The magnetization comes out at 0.0 μB per formula unit. As for the crystal system: cubic.

No. 18
First-principles (GGA-PBE) data for an optimized crystal structure of SnPt5, as listed in the Alexandria database.

a b c (Å): 11.066 2.877 7.733
angles (deg): 90.00 125.25 90.00
Space group Cm (No. 8)
Asymmetric unit:
Sn (0.000, 0.000, 0.000)
Pt (0.022, 0.500, 0.674)
Pt (0.246, 0.500, 0.359)
Pt (0.248, 0.000, 0.028)
Pt (0.271, 0.000, 0.695)
Pt (0.492, 0.500, 0.334)

The calculation puts the formation energy at -57.2 kJ/mol of formula units. The calculation puts the raw total energy at -5.800 eV/atom. The magnetization comes out at 0.0 μB per formula unit. As for the crystal system: monoclinic.

No. 19
First-principles (GGA-PBE) data for an optimized crystal structure of SnPt, as listed in the Alexandria database.

a b c (Å): 9.8083 9.8083 4.2855
angles (deg): 90.00 90.00 120.00
Space group P6_3/m (No. 176)
Asymmetric unit:
Sn (0.1095, 0.3699, 0.2500)
Pt (0.0293, 0.6042, 0.2500)

The calculation puts the formation energy at -38.9 kJ/mol of formula units. The calculation puts the raw total energy at -5.223 eV/atom. The magnetization comes out at 0.0 μB per formula unit. As for the crystal system: hexagonal.

No. 20
First-principles (GGA-PBE) data for an optimized crystal structure of SnPt, as listed in the Alexandria database.

a b c (Å): 9.177 9.177 5.213
angles (deg): 90.00 90.00 90.00
Space group I4/mcm (No. 140)
Asymmetric unit:
Sn (0.123, 0.377, 0.000)
Pt (0.172, 0.328, 0.500)

The calculation puts the formation energy at -61.8 kJ/mol of formula units. The calculation puts the raw total energy at -5.342 eV/atom. The magnetization comes out at 0.0 μB per formula unit. As for the crystal system: tetragonal.

No. 21
First-principles (GGA-PBE) data for an optimized crystal structure of SnPt, as listed in the Alexandria database.

a b c (Å): 7.581 7.756 12.958
angles (deg): 90.00 90.00 90.00
Space group Fddd (No. 70, origin choice 2)
Asymmetric unit:
Sn (0.125, 0.321, 0.125)
Pt (0.125, 0.125, 0.515)

The calculation puts the formation energy at -41.7 kJ/mol of formula units. The calculation puts the raw total energy at -5.238 eV/atom. The magnetization comes out at 0.0 μB per formula unit. As for the crystal system: orthorhombic.